(1)
The following is a DFT calculation (PBE) of a relaxed KAs2Pb crystal.

abc: 7.0598 7.0598 7.0598
angles: 149.86 134.98 55.13
Last column: nearest neighbours and their distance in Å.
Fractional positions:
1 K 0.0000 0.0000 0.0000  6 As 3.48-3.63, 2 K 3.67, 2 Pb 3.72
2 As 0.2361 0.7361 0.5000  2 As 2.52
3 As 0.3743 0.3743 0.0000  2 As 2.52
4 Pb 0.7411 0.2411 0.5000  6 As 3.18-3.27

Output
raw total energy	-3.658	eV/atom
crystal system	orthorhombic
space group	No. 44

---

(2)
The following is a DFT calculation (PBE) of a relaxed KAsPb4 crystal.

abc: 6.5212 6.5212 6.5212
angles: 60.00 60.00 60.00
Last column: nearest neighbours and their distance in Å.
Fractional positions:
1 K 0.0000 0.0000 0.0000  12 Pb 3.82, 4 As 3.99
2 As 0.2500 0.2500 0.2500  12 Pb 3.82, 4 K 3.99
3 Pb 0.1260 0.6247 0.6247  6 Pb 3.25-3.27
4 Pb 0.6247 0.1260 0.6247  6 Pb 3.25-3.27
5 Pb 0.6247 0.6247 0.1260  6 Pb 3.25-3.27
6 Pb 0.6247 0.6247 0.6247  6 Pb 3.25-3.27

Output
raw total energy	-3.253	eV/atom
crystal system	cubic
space group	No. 216

---

(3)
The following is a DFT calculation (PBE) of a relaxed KAs2Pb2 crystal.

abc: 7.0255 7.0255 7.0255
angles: 136.95 136.95 62.51
Last column: nearest neighbours and their distance in Å.
Fractional positions:
1 K 0.0000 0.0000 0.0000  8 As 3.88, 8 Pb 3.96
2 As 0.3885 0.3885 0.0000  1 As 2.68
3 As 0.6115 0.6115 0.0000  1 As 2.68
4 Pb 0.2500 0.7500 0.5000  4 As 3.07
5 Pb 0.7500 0.2500 0.5000  4 As 3.07

Output
raw total energy	-3.706	eV/atom
crystal system	tetragonal
space group	No. 139

---

(4)
The following is a DFT calculation (PBE) of a relaxed KAsPb2 crystal.

abc: 3.4664 5.2752 7.0165
angles: 90.00 95.26 90.00
Last column: nearest neighbours and their distance in Å.
Fractional positions:
1 K 0.0000 0.0000 0.0000  2 K 3.47, 4 Pb 3.49-3.79, 2 As 3.54
2 As 0.5579 0.5000 0.7244  3 Pb 2.84-3.09
3 Pb 0.2673 0.0000 0.5321  2 As 3.09, 2 Pb 3.31
4 Pb 0.6275 0.5000 0.3247  1 As 2.84

Output
raw total energy	-3.352	eV/atom
crystal system	monoclinic
space group	No. 6

---

(5)
The following is a DFT calculation (PBE) of a relaxed KAsPb2 crystal.

abc: 6.0865 6.0865 6.0865
angles: 133.18 133.18 68.38
Last column: nearest neighbours and their distance in Å.
Fractional positions:
1 K 0.0000 0.0000 0.0000  4 As 3.42, 8 Pb 3.49
2 As 0.5000 0.5000 0.0000  4 K 3.42, 8 Pb 3.49
3 Pb 0.2500 0.7500 0.5000  4 Pb 3.42, 4 As 3.49, 4 K 3.49
4 Pb 0.7500 0.2500 0.5000  4 Pb 3.42, 4 As 3.49, 4 K 3.49

Output
raw total energy	-3.254	eV/atom
crystal system	tetragonal
space group	No. 139

---

(6)
The following is a DFT calculation (PBE) of a relaxed KAsPb2 crystal.

abc: 6.2018 6.2018 3.3808
angles: 90.00 90.00 115.17
Last column: nearest neighbours and their distance in Å.
Fractional positions:
1 K 0.0000 0.0000 0.0000  2 As 3.32, 2 K 3.38, 8 Pb 3.53
2 As 0.5000 0.5000 0.0000  2 K 3.32, 2 As 3.38, 8 Pb 3.53
3 Pb 0.0000 0.5000 0.5000  4 Pb 3.32-3.38, 4 As 3.53, 4 K 3.53
4 Pb 0.5000 0.0000 0.5000  4 Pb 3.32-3.38, 4 As 3.53, 4 K 3.53

Output
raw total energy	-3.215	eV/atom
crystal system	orthorhombic
space group	No. 65

---

(7)
The following is a DFT calculation (PBE) of a relaxed KAs2Pb crystal.

abc: 3.8642 3.8642 7.5702
angles: 90.00 90.00 90.00
Last column: nearest neighbours and their distance in Å.
Fractional positions:
1 K 0.0000 0.0000 0.0000  5 As 3.23-3.57
2 As 0.0000 0.0000 0.5734  4 As 2.89, 1 K 3.23
3 As 0.5000 0.5000 0.6972  1 Pb 2.73, 4 As 2.89
4 Pb 0.5000 0.5000 0.3370  1 As 2.73

Output
raw total energy	-3.547	eV/atom
crystal system	tetragonal
space group	No. 99

---

(8)
The following is a DFT calculation (PBE) of a relaxed KAsPb2 crystal.

abc: 5.5262 5.5262 5.5262
angles: 60.00 60.00 60.00
Last column: nearest neighbours and their distance in Å.
Fractional positions:
1 K 0.0000 0.0000 0.0000  4 As 3.38, 4 Pb 3.38
2 As 0.7500 0.7500 0.7500  4 K 3.38, 4 Pb 3.38
3 Pb 0.2500 0.2500 0.2500  4 Pb 3.38, 4 K 3.38
4 Pb 0.5000 0.5000 0.5000  4 As 3.38, 4 Pb 3.38

Output
raw total energy	-3.220	eV/atom
crystal system	cubic
space group	No. 216